Entry 1:
# Sr2BeSi, PBEsol geometry, DFT meta-GGA SCAN
# D(E_F) (states/eV per cell): 9.41
# Relative energy among the computed polymorphs (eV/f.u.): 3.66
# Magnetic moment (μB per formula unit): 0.01
# Energy (eV/cell): -223.44
# Formation energy from raw total energies (meV/atom): 765
data_Sr2BeSi
_cell_length_a 5.242
_cell_length_b 5.242
_cell_length_c 19.209
_cell_angle_alpha 90.00
_cell_angle_beta 90.00
_cell_angle_gamma 90.00
_symmetry_space_group_name_H-M 'I -4 2 d'
_symmetry_Int_Tables_number 122
_symmetry_space_group_name_Hall 'I -4 2bw'
loop_
_atom_site_label
_atom_site_type_symbol
_atom_site_fract_x
_atom_site_fract_y
_atom_site_fract_z
_atom_site_occupancy
Sr1 Sr 0.250 0.250 0.125 1
Be1 Be 0.000 0.000 0.000 1
Si1 Si 0.000 0.000 0.500 1

---

Entry 2:
# SrBeSi, PBEsol geometry, DFT meta-GGA SCAN
# D(E_F) (states/eV per cell): 0.95
# Magnetic moment (μB per formula unit): 0.00
# Energy (eV/cell): -37.58
# Formation energy from raw total energies (meV/atom): -312
data_SrBeSi
_cell_length_a 3.9882
_cell_length_b 3.9882
_cell_length_c 4.5639
_cell_angle_alpha 90.00
_cell_angle_beta 90.00
_cell_angle_gamma 120.00
_symmetry_space_group_name_H-M 'P -6 m 2'
_symmetry_Int_Tables_number 187
_symmetry_space_group_name_Hall 'P -6 2'
loop_
_atom_site_label
_atom_site_type_symbol
_atom_site_fract_x
_atom_site_fract_y
_atom_site_fract_z
_atom_site_occupancy
Sr1 Sr 0.0000 0.0000 0.0000 1
Be1 Be 0.3333 0.6667 0.5000 1
Si1 Si 0.6667 0.3333 0.5000 1

---

Entry 3:
# SrBeSi3, PBEsol geometry, DFT meta-GGA SCAN
# D(E_F) (states/eV per cell): 7.11
# Magnetic moment (μB per formula unit): 0.01
# Energy (eV/cell): -44.70
# Formation energy from raw total energies (meV/atom): 2395
data_SrBeSi3
_cell_length_a 5.410
_cell_length_b 5.410
_cell_length_c 5.410
_cell_angle_alpha 90.00
_cell_angle_beta 90.00
_cell_angle_gamma 90.00
_symmetry_space_group_name_H-M 'P m -3 m'
_symmetry_Int_Tables_number 221
_symmetry_space_group_name_Hall '-P 4 2 3'
loop_
_atom_site_label
_atom_site_type_symbol
_atom_site_fract_x
_atom_site_fract_y
_atom_site_fract_z
_atom_site_occupancy
Sr1 Sr 0.000 0.000 0.000 1
Be1 Be 0.500 0.500 0.500 1
Si1 Si 0.000 0.000 0.500 1

---

Entry 4:
# TaBeSi2, PBEsol geometry, DFT meta-GGA SCAN
# D(E_F) (states/eV per cell): 13.12
# Magnetic moment (μB per formula unit): 0.01
# Energy (eV/cell): -355.14
# Formation energy from raw total energies (meV/atom): 546
data_TaBeSi2
_cell_length_a 6.000
_cell_length_b 6.000
_cell_length_c 6.000
_cell_angle_alpha 90.00
_cell_angle_beta 90.00
_cell_angle_gamma 90.00
_symmetry_space_group_name_H-M 'F -4 3 m'
_symmetry_Int_Tables_number 216
_symmetry_space_group_name_Hall 'F -4 2 3'
loop_
_atom_site_label
_atom_site_type_symbol
_atom_site_fract_x
_atom_site_fract_y
_atom_site_fract_z
_atom_site_occupancy
Ta1 Ta 0.000 0.000 0.000 1
Be1 Be 0.250 0.250 0.250 1
Si1 Si 0.000 0.000 0.500 1
Si2 Si 0.250 0.250 0.750 1

---

Entry 5:
# TaBeSi3, PBEsol geometry, DFT meta-GGA SCAN
# D(E_F) (states/eV per cell): 3.17
# Magnetic moment (μB per formula unit): 0.82
# Energy (eV/cell): -94.83
# Formation energy from raw total energies (meV/atom): 1230
data_TaBeSi3
_cell_length_a 4.833
_cell_length_b 4.833
_cell_length_c 4.833
_cell_angle_alpha 90.00
_cell_angle_beta 90.00
_cell_angle_gamma 90.00
_symmetry_space_group_name_H-M 'P m -3 m'
_symmetry_Int_Tables_number 221
_symmetry_space_group_name_Hall '-P 4 2 3'
loop_
_atom_site_label
_atom_site_type_symbol
_atom_site_fract_x
_atom_site_fract_y
_atom_site_fract_z
_atom_site_occupancy
Ta1 Ta 0.000 0.000 0.000 1
Be1 Be 0.500 0.500 0.500 1
Si1 Si 0.000 0.000 0.500 1

---

Entry 6:
# TaBeSi2, PBEsol geometry, DFT meta-GGA SCAN
# D(E_F) (states/eV per cell): 1.90
# Magnetic moment (μB per formula unit): 0.00
# Energy (eV/cell): -90.51
# Formation energy from raw total energies (meV/atom): 116
data_TaBeSi2
_cell_length_a 3.567
_cell_length_b 3.605
_cell_length_c 4.103
_cell_angle_alpha 90.00
_cell_angle_beta 90.00
_cell_angle_gamma 90.00
_symmetry_space_group_name_H-M 'P m m m'
_symmetry_Int_Tables_number 47
_symmetry_space_group_name_Hall '-P 2 2'
loop_
_atom_site_label
_atom_site_type_symbol
_atom_site_fract_x
_atom_site_fract_y
_atom_site_fract_z
_atom_site_occupancy
Ta1 Ta 0.000 0.000 0.000 1
Be1 Be 0.500 0.000 0.500 1
Si1 Si 0.000 0.500 0.500 1
Si2 Si 0.500 0.500 0.000 1

---

Entry 7:
# TaBeSi2, PBEsol geometry, DFT meta-GGA SCAN
# D(E_F) (states/eV per cell): 4.84
# Magnetic moment (μB per formula unit): 0.00
# Energy (eV/cell): -270.98
# Formation energy from raw total energies (meV/atom): 160
data_TaBeSi2
_cell_length_a 2.8476
_cell_length_b 2.8476
_cell_length_c 23.5906
_cell_angle_alpha 90.00
_cell_angle_beta 90.00
_cell_angle_gamma 120.00
_symmetry_space_group_name_H-M 'R -3 m'
_symmetry_Int_Tables_number 166
_symmetry_space_group_name_Hall '-R 3 2"'
loop_
_atom_site_label
_atom_site_type_symbol
_atom_site_fract_x
_atom_site_fract_y
_atom_site_fract_z
_atom_site_occupancy
Ta1 Ta 0.0000 0.0000 0.0000 1
Be1 Be 0.0000 0.0000 0.5000 1
Si1 Si 0.0000 0.0000 0.2416 1

---

Entry 8:
# TaBeSi2, PBEsol geometry, DFT meta-GGA SCAN
# D(E_F) (states/eV per cell): 2.77
# Magnetic moment (μB per formula unit): 0.00
# Energy (eV/cell): -182.26
# Formation energy from raw total energies (meV/atom): -40
data_TaBeSi2
_cell_length_a 3.584
_cell_length_b 3.584
_cell_length_c 8.123
_cell_angle_alpha 90.00
_cell_angle_beta 90.00
_cell_angle_gamma 90.00
_symmetry_space_group_name_H-M 'I -4 m 2'
_symmetry_Int_Tables_number 119
_symmetry_space_group_name_Hall 'I -4 -2'
loop_
_atom_site_label
_atom_site_type_symbol
_atom_site_fract_x
_atom_site_fract_y
_atom_site_fract_z
_atom_site_occupancy
Ta1 Ta 0.000 0.000 0.000 1
Be1 Be 0.000 0.500 0.250 1
Si1 Si 0.000 0.000 0.500 1
Si2 Si 0.000 0.500 0.750 1

---

Entry 9:
# TaBeSi2W, PBEsol geometry, DFT meta-GGA SCAN
# D(E_F) (states/eV per cell): 3.02
# Magnetic moment (μB per formula unit): 1.48
# Energy (eV/cell): -151.32
# Formation energy from raw total energies (meV/atom): 1867
data_TaBeSi2W
_cell_length_a 4.746
_cell_length_b 4.746
_cell_length_c 4.864
_cell_angle_alpha 90.00
_cell_angle_beta 90.00
_cell_angle_gamma 90.00
_symmetry_space_group_name_H-M 'P 4/m m m'
_symmetry_Int_Tables_number 123
_symmetry_space_group_name_Hall '-P 4 2'
loop_
_atom_site_label
_atom_site_type_symbol
_atom_site_fract_x
_atom_site_fract_y
_atom_site_fract_z
_atom_site_occupancy
Ta1 Ta 0.000 0.000 0.000 1
Be1 Be 0.500 0.500 0.500 1
Si1 Si 0.000 0.500 0.000 1
W1 W 0.000 0.000 0.500 1

---

Entry 10:
# BeSiTc2, PBEsol geometry, DFT meta-GGA SCAN
# D(E_F) (states/eV per cell): 3.41
# Relative energy among the computed polymorphs (eV/f.u.): 1.23
# Magnetic moment (μB per formula unit): 0.00
# Energy (eV/cell): -169.89
# Formation energy from raw total energies (meV/atom): -114
data_BeSiTc2
_cell_length_a 7.795
_cell_length_b 2.756
_cell_length_c 4.748
_cell_angle_alpha 90.00
_cell_angle_beta 101.62
_cell_angle_gamma 90.00
_symmetry_space_group_name_H-M 'C 1 2/m 1'
_symmetry_Int_Tables_number 12
_symmetry_space_group_name_Hall '-C 2y'
loop_
_atom_site_label
_atom_site_type_symbol
_atom_site_fract_x
_atom_site_fract_y
_atom_site_fract_z
_atom_site_occupancy
Be1 Be 0.000 0.000 0.000 1
Si1 Si 0.000 0.500 0.500 1
Tc1 Tc 0.250 0.000 0.761 1

---

Entry 11:
# Be2SiTc, PBEsol geometry, DFT meta-GGA SCAN
# D(E_F) (states/eV per cell): 3.05
# Magnetic moment (μB per formula unit): 0.07
# Energy (eV/cell): -110.59
# Formation energy from raw total energies (meV/atom): -378
data_Be2SiTc
_cell_length_a 3.192
_cell_length_b 3.541
_cell_length_c 7.461
_cell_angle_alpha 90.00
_cell_angle_beta 90.00
_cell_angle_gamma 90.00
_symmetry_space_group_name_H-M 'I m m 2'
_symmetry_Int_Tables_number 44
_symmetry_space_group_name_Hall 'I 2 -2'
loop_
_atom_site_label
_atom_site_type_symbol
_atom_site_fract_x
_atom_site_fract_y
_atom_site_fract_z
_atom_site_occupancy
Be1 Be 0.000 0.000 0.000 1
Be2 Be 0.000 0.500 0.265 1
Si1 Si 0.000 0.500 0.757 1
Tc1 Tc 0.000 0.000 0.514 1

---

Entry 12:
# Be2SiTc, PBEsol geometry, DFT meta-GGA SCAN
# D(E_F) (states/eV per cell): 1.39
# Magnetic moment (μB per formula unit): 0.00
# Energy (eV/cell): -109.99
# Formation energy from raw total energies (meV/atom): -303
data_Be2SiTc
_cell_length_a 3.068
_cell_length_b 3.677
_cell_length_c 7.632
_cell_angle_alpha 90.00
_cell_angle_beta 90.00
_cell_angle_gamma 90.00
_symmetry_space_group_name_H-M 'I m m m'
_symmetry_Int_Tables_number 71
_symmetry_space_group_name_Hall '-I 2 2'
loop_
_atom_site_label
_atom_site_type_symbol
_atom_site_fract_x
_atom_site_fract_y
_atom_site_fract_z
_atom_site_occupancy
Be1 Be 0.000 0.000 0.248 1
Si1 Si 0.000 0.500 0.000 1
Tc1 Tc 0.000 0.500 0.500 1

---

Entry 13:
# BeSiTc2, PBEsol geometry, DFT meta-GGA SCAN
# D(E_F) (states/eV per cell): 4.03
# Relative energy among the computed polymorphs (eV/f.u.): 0.06
# Magnetic moment (μB per formula unit): 0.00
# Energy (eV/cell): -172.23
# Formation energy from raw total energies (meV/atom): -406
data_BeSiTc2
_cell_length_a 3.866
_cell_length_b 2.883
_cell_length_c 8.586
_cell_angle_alpha 90.00
_cell_angle_beta 90.00
_cell_angle_gamma 90.00
_symmetry_space_group_name_H-M 'A m m 2'
_symmetry_Int_Tables_number 38
_symmetry_space_group_name_Hall 'A 2 -2'
loop_
_atom_site_label
_atom_site_type_symbol
_atom_site_fract_x
_atom_site_fract_y
_atom_site_fract_z
_atom_site_occupancy
Be1 Be 0.000 0.000 0.000 1
Si1 Si 0.500 0.000 0.839 1
Tc1 Tc 0.000 0.000 0.271 1
Tc2 Tc 0.500 0.000 0.564 1

---

Entry 14:
# BeSiTc2, PBEsol geometry, DFT meta-GGA SCAN
# D(E_F) (states/eV per cell): 0.88
# Relative energy among the computed polymorphs (eV/f.u.): 0.00
# Magnetic moment (μB per formula unit): 0.00
# Energy (eV/cell): -86.18
# Formation energy from raw total energies (meV/atom): -422
data_BeSiTc2
_cell_length_a 2.924
_cell_length_b 2.924
_cell_length_c 5.557
_cell_angle_alpha 90.00
_cell_angle_beta 90.00
_cell_angle_gamma 90.00
_symmetry_space_group_name_H-M 'P 4 m m'
_symmetry_Int_Tables_number 99
_symmetry_space_group_name_Hall 'P 4 -2'
loop_
_atom_site_label
_atom_site_type_symbol
_atom_site_fract_x
_atom_site_fract_y
_atom_site_fract_z
_atom_site_occupancy
Be1 Be 0.000 0.000 0.000 1
Si1 Si 0.500 0.500 0.221 1
Tc1 Tc 0.000 0.000 0.478 1
Tc2 Tc 0.500 0.500 0.774 1

---

Entry 15:
# BeSiTc2, PBEsol geometry, DFT meta-GGA SCAN
# D(E_F) (states/eV per cell): 3.46
# Relative energy among the computed polymorphs (eV/f.u.): 0.58
# Magnetic moment (μB per formula unit): 0.00
# Energy (eV/cell): -85.60
# Formation energy from raw total energies (meV/atom): -277
data_BeSiTc2
_cell_length_a 4.034
_cell_length_b 4.034
_cell_length_c 2.924
_cell_angle_alpha 90.00
_cell_angle_beta 90.00
_cell_angle_gamma 90.00
_symmetry_space_group_name_H-M 'P 4/m m m'
_symmetry_Int_Tables_number 123
_symmetry_space_group_name_Hall '-P 4 2'
loop_
_atom_site_label
_atom_site_type_symbol
_atom_site_fract_x
_atom_site_fract_y
_atom_site_fract_z
_atom_site_occupancy
Be1 Be 0.000 0.000 0.000 1
Si1 Si 0.500 0.500 0.000 1
Tc1 Tc 0.000 0.500 0.500 1

---

Entry 16:
# BeSiTc2, PBEsol geometry, DFT meta-GGA SCAN
# D(E_F) (states/eV per cell): 2.47
# Relative energy among the computed polymorphs (eV/f.u.): 1.18
# Magnetic moment (μB per formula unit): 0.00
# Energy (eV/cell): -85.00
# Formation energy from raw total energies (meV/atom): -127
data_BeSiTc2
_cell_length_a 2.676
_cell_length_b 3.797
_cell_length_c 4.941
_cell_angle_alpha 90.00
_cell_angle_beta 97.53
_cell_angle_gamma 90.00
_symmetry_space_group_name_H-M 'P 1 2/m 1'
_symmetry_Int_Tables_number 10
_symmetry_space_group_name_Hall '-P 2y'
loop_
_atom_site_label
_atom_site_type_symbol
_atom_site_fract_x
_atom_site_fract_y
_atom_site_fract_z
_atom_site_occupancy
Be1 Be 0.000 0.000 0.000 1
Si1 Si 0.500 0.000 0.500 1
Tc1 Tc 0.266 0.500 0.757 1

---

Entry 17:
# BeSi2Te, PBEsol geometry, DFT meta-GGA SCAN
# D(E_F) (states/eV per cell): 3.37
# Relative energy among the computed polymorphs (eV/f.u.): 0.98
# Magnetic moment (μB per formula unit): 0.00
# Energy (eV/cell): -118.11
# Formation energy from raw total energies (meV/atom): 645
data_BeSi2Te
_cell_length_a 3.732
_cell_length_b 4.492
_cell_length_c 8.210
_cell_angle_alpha 90.00
_cell_angle_beta 90.00
_cell_angle_gamma 90.00
_symmetry_space_group_name_H-M 'C m m m'
_symmetry_Int_Tables_number 65
_symmetry_space_group_name_Hall '-C 2 2'
loop_
_atom_site_label
_atom_site_type_symbol
_atom_site_fract_x
_atom_site_fract_y
_atom_site_fract_z
_atom_site_occupancy
Be1 Be 0.000 0.000 0.000 1
Si1 Si 0.000 0.500 0.166 1
Te1 Te 0.000 0.000 0.500 1

---

Entry 18:
# BeSi2Te, PBEsol geometry, DFT meta-GGA SCAN
# D(E_F) (states/eV per cell): 3.30
# Relative energy among the computed polymorphs (eV/f.u.): 1.91
# Magnetic moment (μB per formula unit): 0.00
# Energy (eV/cell): -116.25
# Formation energy from raw total energies (meV/atom): 878
data_BeSi2Te
_cell_length_a 5.184
_cell_length_b 7.704
_cell_length_c 3.510
_cell_angle_alpha 90.00
_cell_angle_beta 90.00
_cell_angle_gamma 90.00
_symmetry_space_group_name_H-M 'C m m m'
_symmetry_Int_Tables_number 65
_symmetry_space_group_name_Hall '-C 2 2'
loop_
_atom_site_label
_atom_site_type_symbol
_atom_site_fract_x
_atom_site_fract_y
_atom_site_fract_z
_atom_site_occupancy
Be1 Be 0.000 0.000 0.000 1
Si1 Si 0.250 0.250 0.500 1
Te1 Te 0.000 0.500 0.000 1

---

Entry 19:
# BeSi2Te, PBEsol geometry, DFT meta-GGA SCAN
# D(E_F) (states/eV per cell): 1.68
# Relative energy among the computed polymorphs (eV/f.u.): 1.17
# Magnetic moment (μB per formula unit): 0.00
# Energy (eV/cell): -58.87
# Formation energy from raw total energies (meV/atom): 693
data_BeSi2Te
_cell_length_a 3.552
_cell_length_b 3.552
_cell_length_c 5.504
_cell_angle_alpha 90.00
_cell_angle_beta 90.00
_cell_angle_gamma 90.00
_symmetry_space_group_name_H-M 'P 4/m m m'
_symmetry_Int_Tables_number 123
_symmetry_space_group_name_Hall '-P 4 2'
loop_
_atom_site_label
_atom_site_type_symbol
_atom_site_fract_x
_atom_site_fract_y
_atom_site_fract_z
_atom_site_occupancy
Be1 Be 0.000 0.000 0.000 1
Si1 Si 0.000 0.500 0.500 1
Te1 Te 0.500 0.500 0.000 1

---

Entry 20:
# BeSiTe2, PBEsol geometry, DFT meta-GGA SCAN
# D(E_F) (states/eV per cell): 1.11
# Relative energy among the computed polymorphs (eV/f.u.): 0.00
# Magnetic moment (μB per formula unit): 0.00
# Energy (eV/cell): -88.04
# Formation energy from raw total energies (meV/atom): 207
data_BeSiTe2
_cell_length_a 3.890
_cell_length_b 3.890
_cell_length_c 5.732
_cell_angle_alpha 90.00
_cell_angle_beta 90.00
_cell_angle_gamma 90.00
_symmetry_space_group_name_H-M 'P 4 m m'
_symmetry_Int_Tables_number 99
_symmetry_space_group_name_Hall 'P 4 -2'
loop_
_atom_site_label
_atom_site_type_symbol
_atom_site_fract_x
_atom_site_fract_y
_atom_site_fract_z
_atom_site_occupancy
Be1 Be 0.000 0.000 0.000 1
Si1 Si 0.500 0.500 0.482 1
Te1 Te 0.000 0.000 0.435 1
Te2 Te 0.500 0.500 0.942 1